i) CaCr2Fe: relaxed, GGA-PBE.

abc: 6.0488 6.0488 6.0488
angles: 90.00 90.00 90.00
Closest atoms and distances in Å follow each position.
Space group Fm-3m (No. 225)
Symmetry-distinct sites (fractional):
Ca  0.0000  0.0000  0.0000 (multiplicity 4)  8 Cr 2.62
Cr  0.2500  0.2500  0.2500 (multiplicity 8)  4 Fe 2.62, 4 Ca 2.62
Fe  0.0000  0.0000  0.5000 (multiplicity 4)  8 Cr 2.62


ii) CaCr2Fe: relaxed, GGA-PBE.

abc: 4.4181 4.4181 15.7386
angles: 90.00 90.00 90.00
Closest atoms and distances in Å follow each position.
Space group I4_1/amd (No. 141, origin choice 2)
Symmetry-distinct sites (fractional):
Ca  0.0000  0.2500  0.3750 (multiplicity 4)  4 Fe 3.12, 8 Cr 3.16
Cr  0.0000  0.0000  0.0000 (multiplicity 8)  2 Cr 2.21, 2 Fe 2.26
Fe  0.0000  0.2500  0.8750 (multiplicity 4)  4 Cr 2.26


iii) CaCr2Fe: relaxed, GGA-PBE.

abc: 3.2546 3.2546 6.5252
angles: 90.00 90.00 90.00
Closest atoms and distances in Å follow each position.
Space group P4/mmm (No. 123)
Symmetry-distinct sites (fractional):
Ca  0.0000  0.0000  0.0000 (multiplicity 1)  8 Cr 3.25, 4 Ca 3.25, 2 Fe 3.26
Cr  0.5000  0.5000  0.3519 (multiplicity 2)  1 Cr 1.93
Fe  0.0000  0.0000  0.5000 (multiplicity 1)  8 Cr 2.50


Relative energies, in meV/atom, with the most stable structure set to zero: i) 442; ii) 472; iii) 0.